A relaxed structure of Co2TcCl, computed with PBE.

Summary:
* total magnetic moment: 0.507 μB per atom
* energy relative to the elements, uncorrected: 0.786 eV/atom
* mass density: 8.19 g/cm³

Cell lengths 5.8850, 5.8850, 5.8850 Å; angles 90.00, 90.00, 90.00 degrees
Fractional coordinates of all 16 atoms:
Co  0.0000  0.0000  0.0000
Co  0.0000  0.5000  0.5000
Co  0.2500  0.2500  0.2500
Co  0.2500  0.7500  0.7500
Co  0.5000  0.0000  0.5000
Co  0.5000  0.5000  0.0000
Co  0.7500  0.2500  0.7500
Co  0.7500  0.7500  0.2500
Tc  0.0000  0.0000  0.5000
Tc  0.0000  0.5000  0.0000
Tc  0.5000  0.0000  0.0000
Tc  0.5000  0.5000  0.5000
Cl  0.2500  0.2500  0.7500
Cl  0.2500  0.7500  0.2500
Cl  0.7500  0.2500  0.2500
Cl  0.7500  0.7500  0.7500


A relaxed structure of Hg3Rh2Pb8, computed with PBE.

Summary:
* total magnetic moment: 0.000 μB per atom
* mass density: 11.21 g/cm³
* formation enthalpy at 0 K: 0.3 eV/f.u.

Cell lengths 9.2387, 9.2387, 4.7134 Å; angles 90.00, 90.00, 114.83 degrees
Fractional coordinates of all 13 atoms:
Hg  0.0000  0.0000  0.0000
Hg  0.2365  0.2365  0.5000
Hg  0.7635  0.7635  0.5000
Rh  0.2611  0.7389  0.0000
Rh  0.7389  0.2611  0.0000
Pb  0.1039  0.3980  0.0000
Pb  0.1626  0.8374  0.5000
Pb  0.3767  0.6233  0.5000
Pb  0.3980  0.1039  0.0000
Pb  0.6020  0.8961  0.0000
Pb  0.6233  0.3767  0.5000
Pb  0.8374  0.1626  0.5000
Pb  0.8961  0.6020  0.0000


A relaxed structure of CoMo2Cl, computed with PBE.

Summary:
* total magnetic moment: 0.530 μB per atom
* energy relative to the elements, uncorrected: 0.967 eV/atom
* mass density: 7.95 g/cm³

Cell lengths 6.2075, 6.2075, 6.2075 Å; angles 90.00, 90.00, 90.00 degrees
Fractional coordinates of all 16 atoms:
Co  0.0000  0.0000  0.0000
Co  0.0000  0.5000  0.5000
Co  0.5000  0.0000  0.5000
Co  0.5000  0.5000  0.0000
Mo  0.0000  0.0000  0.5000
Mo  0.0000  0.5000  0.0000
Mo  0.2500  0.2500  0.7500
Mo  0.2500  0.7500  0.2500
Mo  0.5000  0.0000  0.0000
Mo  0.5000  0.5000  0.5000
Mo  0.7500  0.2500  0.2500
Mo  0.7500  0.7500  0.7500
Cl  0.2500  0.2500  0.2500
Cl  0.2500  0.7500  0.7500
Cl  0.7500  0.2500  0.7500
Cl  0.7500  0.7500  0.2500


A relaxed structure of HoU2Tc, computed with PBE.

Summary:
* total magnetic moment: 0.780 μB per atom
* mass density: 13.91 g/cm³
* formation enthalpy at 0 K: 1.5 eV/f.u.

Cell lengths 3.1776, 3.1776, 30.2702 Å; angles 90.00, 90.00, 120.00 degrees
Fractional coordinates of all 12 atoms:
Ho  0.0000  0.0000  0.0000
Ho  0.3333  0.6667  0.6667
Ho  0.6667  0.3333  0.3333
U  0.0000  0.0000  0.2385
U  0.0000  0.0000  0.7615
U  0.3333  0.6667  0.4282
U  0.3333  0.6667  0.9052
U  0.6667  0.3333  0.0948
U  0.6667  0.3333  0.5718
Tc  0.0000  0.0000  0.5000
Tc  0.3333  0.6667  0.1667
Tc  0.6667  0.3333  0.8333